No. 1
5
Lattice="5.2718 0.0000 0.0000 0.0000 5.2718 0.0000 0.0000 0.0000 5.4261" Properties=species:S:1:pos:R:3 comment="TlGaSb2S (PBE, relaxed)" dos_ef_per_ev_cell=1.2 volume_a3_per_atom=30.16 e_form_raw_ev_per_atom=0.2666 density_g_cm3=6.05 magnetic_moment_mub_per_fu=0.0 pbc="T T T"
Tl 0.0000 0.0000 0.0000
Ga 2.6359 2.6359 0.0000
Sb 0.0000 2.6359 2.7131
Sb 2.6359 0.0000 2.7131
S 2.6359 2.6359 2.7131

No. 2
5
Lattice="5.2626 0.0000 0.0000 0.0000 5.2626 0.0000 0.0000 0.0000 5.2537" Properties=species:S:1:pos:R:3 comment="VGa2SbS (PBE, relaxed)" dos_ef_per_ev_cell=4.3 volume_a3_per_atom=29.10 e_form_raw_ev_per_atom=0.8439 density_g_cm3=3.93 magnetic_moment_mub_per_fu=3.4 pbc="T T T"
V 0.0000 0.0000 0.0000
Ga 0.0000 2.6313 2.6269
Ga 2.6313 0.0000 2.6269
Sb 0.0000 0.0000 2.6269
S 2.6313 2.6313 0.0000

No. 3
5
Lattice="5.7521 0.0000 0.0000 0.0000 5.7521 0.0000 0.0000 0.0000 5.1009" Properties=species:S:1:pos:R:3 comment="Y2GaSbS (PBE, relaxed)" dos_ef_per_ev_cell=6.6 volume_a3_per_atom=33.75 e_form_raw_ev_per_atom=0.1649 density_g_cm3=3.95 magnetic_moment_mub_per_fu=0.0 pbc="T T T"
Y 0.0000 2.8760 0.0000
Y 2.8760 0.0000 0.0000
Ga 0.0000 0.0000 2.5504
Sb 2.8760 2.8760 0.0000
S 2.8760 2.8760 2.5504